16
Lattice="7.047 0.000 0.000 0.000 7.047 0.000 0.000 0.000 7.047" Properties=species:S:1:pos:R:3 comment="EuAgSnPd, relaxed, DFT PBE" dos_ef_per_ev_atom=3.462 delta_e_f_mev_per_atom=-460 pbc="T T T"
Eu 0.000 0.000 0.000
Eu 0.000 3.523 3.523
Eu 3.523 0.000 3.523
Eu 3.523 3.523 0.000
Ag 1.762 1.762 1.762
Ag 1.762 5.285 5.285
Ag 5.285 1.762 5.285
Ag 5.285 5.285 1.762
Sn 0.000 0.000 3.523
Sn 0.000 3.523 0.000
Sn 3.523 0.000 0.000
Sn 3.523 3.523 3.523
Pd 1.762 1.762 5.285
Pd 1.762 5.285 1.762
Pd 5.285 1.762 1.762
Pd 5.285 5.285 5.285